# 1
Below is a relaxed structure of CaLaY2Os, with properties calculated at the GGA-PBE level.

Results
Magnetic moment, μB/f.u.: 0.000
DFT total energy, eV per atom: -6.300
DOS(E_F), states/eV/f.u.: 2.89
DFT formation energy, eV per atom: -0.0829

Lattice parameters (Å, degrees): 5.541 5.541 5.605 90.00 90.00 90.00
Space group P4/mmm (No. 123)
One atom of each set of equivalent atoms:
Ca1 0.000 0.000 0.000 (multiplicity 1)
La1 0.500 0.500 0.000 (multiplicity 1)
Y1 0.000 0.500 0.500 (multiplicity 2)
Os1 0.500 0.500 0.500 (multiplicity 1)

---

# 2
Below is a relaxed structure of Ca4LaP, with properties calculated at the GGA-PBE level.

Results
Magnetic moment, μB/f.u.: 1.199
DFT total energy, eV per atom: -2.652
DOS(E_F), states/eV/f.u.: 6.56
DFT formation energy, eV per atom: 0.4050

Lattice parameters (Å, degrees): 9.536 9.536 9.536 90.00 90.00 90.00
Space group F-43m (No. 216)
One atom of each set of equivalent atoms:
Ca1 0.125 0.125 0.125 (multiplicity 16)
La1 0.250 0.250 0.750 (multiplicity 4)
P1 0.000 0.000 0.500 (multiplicity 4)

---

# 3
Below is a relaxed structure of Ca2La2P, with properties calculated at the GGA-PBE level.

Results
Magnetic moment, μB/f.u.: 0.000
DFT total energy, eV per atom: -4.121
DOS(E_F), states/eV/f.u.: 5.09
DFT formation energy, eV per atom: -0.2670

Lattice parameters (Å, degrees): 7.706 7.706 6.188 90.00 90.00 90.00
Space group P4/mbm (No. 127)
One atom of each set of equivalent atoms:
Ca1 0.163 0.337 0.000 (multiplicity 4)
La1 0.155 0.655 0.500 (multiplicity 4)
P1 0.000 0.000 0.500 (multiplicity 2)

---

# 4
Below is a relaxed structure of CaLaP3, with properties calculated at the GGA-PBE level.

Results
Magnetic moment, μB/f.u.: 0.000
DFT total energy, eV per atom: -4.623
Energy above the lowest structure with this stoichiometry, eV/f.u.: 0.000
DOS(E_F), states/eV/f.u.: 3.39
DFT formation energy, eV per atom: 0.0092

Lattice parameters (Å, degrees): 5.056 5.056 5.056 90.00 90.00 90.00
Space group Pm-3m (No. 221)
One atom of each set of equivalent atoms:
Ca1 0.000 0.000 0.000 (multiplicity 1)
La1 0.500 0.500 0.500 (multiplicity 1)
P1 0.000 0.000 0.500 (multiplicity 3)

---

# 5
Below is a relaxed structure of CaLaP4, with properties calculated at the GGA-PBE level.

Results
Magnetic moment, μB/f.u.: 0.000
DFT total energy, eV per atom: -5.116
DOS(E_F), states/eV/f.u.: 3.80
DFT formation energy, eV per atom: -0.3544

Lattice parameters (Å, degrees): 7.746 7.746 7.746 90.00 90.00 90.00
Space group F-43m (No. 216)
One atom of each set of equivalent atoms:
Ca1 0.000 0.000 0.000 (multiplicity 4)
La1 0.250 0.250 0.750 (multiplicity 4)
P1 0.130 0.130 0.370 (multiplicity 16)

---

# 6
Below is a relaxed structure of CaLa4P, with properties calculated at the GGA-PBE level.

Results
Magnetic moment, μB/f.u.: 0.008
DFT total energy, eV per atom: -4.208
DOS(E_F), states/eV/f.u.: 9.12
DFT formation energy, eV per atom: 0.3122

Lattice parameters (Å, degrees): 9.278 9.278 9.278 90.00 90.00 90.00
Space group F-43m (No. 216)
One atom of each set of equivalent atoms:
Ca1 0.000 0.000 0.000 (multiplicity 4)
La1 0.125 0.125 0.625 (multiplicity 16)
P1 0.250 0.250 0.250 (multiplicity 4)

---

# 7
Below is a relaxed structure of CaLa4P5, with properties calculated at the GGA-PBE level.

Results
Magnetic moment, μB/f.u.: 0.000
DFT total energy, eV per atom: -6.286
DOS(E_F), states/eV/f.u.: 6.85
DFT formation energy, eV per atom: -1.4096

Lattice parameters (Å, degrees): 4.268 5.999 21.291 90.00 90.00 90.00
Space group Immm (No. 71)
One atom of each set of equivalent atoms:
Ca1 0.000 0.000 0.000 (multiplicity 2)
La1 0.000 0.000 0.199 (multiplicity 4)
La2 0.000 0.000 0.402 (multiplicity 4)
P1 0.000 0.500 0.000 (multiplicity 2)
P2 0.000 0.500 0.199 (multiplicity 4)
P3 0.000 0.500 0.398 (multiplicity 4)

---

# 8
Below is a relaxed structure of CaLaP3, with properties calculated at the GGA-PBE level.

Results
Magnetic moment, μB/f.u.: 0.000
DFT total energy, eV per atom: -4.530
Energy above the lowest structure with this stoichiometry, eV/f.u.: 0.464
DOS(E_F), states/eV/f.u.: 5.15
DFT formation energy, eV per atom: 0.1021

Lattice parameters (Å, degrees): 5.352 5.352 5.352 90.00 90.00 90.00
Space group Pm-3m (No. 221)
One atom of each set of equivalent atoms:
Ca1 0.000 0.000 0.000 (multiplicity 1)
La1 0.500 0.500 0.500 (multiplicity 1)
P1 0.000 0.500 0.500 (multiplicity 3)

---

> The lowest DFT total energy belongs to which entry?

CaLaY2Os

---

> Which value of DFT total energy does entry 7 give?

-6.286 eV per atom

---

> Which formula does entry 5 have?

CaLaP4

---

> Which value of DFT total energy does entry 6 give?

-4.208 eV per atom